# 1
Density functional theory data (PBE) for crystalline Sc2SiPb at its relaxed geometry.

The structure in extended XYZ format:
```
4
Lattice="3.197 -4.098 0.000 3.197 4.098 0.000 -0.031 0.000 3.238" Properties=species:S:1:pos:R:3 pbc="T T T"
Sc 1.599 2.049 0.000
Sc 1.599 -2.049 0.000
Si -0.015 0.000 1.619
Pb 3.182 0.000 1.619
```

Computed properties:
ΔE_f (raw)	-29.1	kJ/mol of atoms
crystal system	monoclinic

***

# 2
Density functional theory data (PBE) for crystalline Zn2TeRh at its relaxed geometry.

The structure in extended XYZ format:
```
4
Lattice="1.648 0.952 8.085 -1.648 0.952 8.085 0.000 -1.903 8.085" Properties=species:S:1:pos:R:3 pbc="T T T"
Zn 0.000 0.000 0.000
Zn 0.000 0.000 6.159
Te 0.000 0.000 11.759
Rh 0.000 0.000 18.026
```

Computed properties:
ΔE_f (raw)	1.6	kJ/mol of atoms
crystal system	trigonal

***

# 3
Density functional theory data (PBE) for crystalline KBeZn at its relaxed geometry.

The structure in extended XYZ format:
```
3
Lattice="4.048 0.000 0.000 -2.024 3.506 0.000 0.000 0.000 5.517" Properties=species:S:1:pos:R:3 pbc="T T T"
K 0.000 0.000 0.000
Be 0.000 2.337 2.759
Zn 2.024 1.169 2.759
```

Computed properties:
energy of formation	1.54	eV/f.u.
crystal system	hexagonal

***

# 4
Density functional theory data (PBE) for crystalline RbYPd2 at its relaxed geometry.

The structure in extended XYZ format:
```
4
Lattice="0.000 3.648 3.648 3.648 0.000 3.648 3.648 3.648 0.000" Properties=species:S:1:pos:R:3 pbc="T T T"
Rb 0.000 0.000 0.000
Y 3.648 3.648 3.648
Pd 1.824 1.824 1.824
Pd 5.473 5.473 5.473
```

Computed properties:
energy of formation	-0.29	eV/f.u.
crystal system	cubic

***

# 5
Density functional theory data (PBE) for crystalline P2RuSeCl at its relaxed geometry.

The structure in extended XYZ format:
```
5
Lattice="4.822 0.000 0.000 0.000 4.822 0.000 0.000 0.000 4.693" Properties=species:S:1:pos:R:3 pbc="T T T"
P 0.000 2.411 0.000
P 2.411 0.000 0.000
Ru 0.000 0.000 2.346
Se 2.411 2.411 0.000
Cl 2.411 2.411 2.346
```

Computed properties:
ΔE_f (raw)	141.6	kJ/mol of atoms
crystal system	tetragonal

***

# 6
Density functional theory data (PBE) for crystalline Ta2CrP at its relaxed geometry.

The structure in extended XYZ format:
```
4
Lattice="-1.821 1.821 4.528 1.821 -1.821 4.528 1.821 1.821 -4.528" Properties=species:S:1:pos:R:3 pbc="T T T"
Ta 0.000 0.000 0.000
Ta 0.000 1.821 2.264
Cr 1.821 0.000 2.264
P 0.000 0.000 4.528
```

Computed properties:
energy of formation	-0.38	eV/f.u.
crystal system	tetragonal

***

# 7
Density functional theory data (PBE) for crystalline Sr2ZnBr at its relaxed geometry.

The structure in extended XYZ format:
```
4
Lattice="2.172 1.254 8.608 -2.172 1.254 8.608 0.000 -2.509 8.608" Properties=species:S:1:pos:R:3 pbc="T T T"
Sr 0.000 0.000 0.000
Sr 0.000 0.000 4.679
Zn 0.000 0.000 15.241
Br 0.000 0.000 19.614
```

Computed properties:
ΔE_f (raw)	-76.4	kJ/mol of atoms
crystal system	trigonal

***

# 8
Density functional theory data (PBE) for crystalline CaTe2 at its relaxed geometry.

The structure in extended XYZ format:
```
6
Lattice="-2.197 2.197 9.810 2.197 -2.197 9.810 2.197 2.197 -9.810" Properties=species:S:1:pos:R:3 pbc="T T T"
Ca 0.000 0.000 2.962
Ca 0.000 0.000 16.658
Te 2.197 0.000 0.000
Te 0.000 0.000 6.221
Te 0.000 2.197 0.000
Te 0.000 0.000 13.399
```

Computed properties:
ΔE_f (raw)	-90.8	kJ/mol of atoms
crystal system	tetragonal

***

# 9
Density functional theory data (PBE) for crystalline Tb2Er3Al4 at its relaxed geometry.

The structure in extended XYZ format:
```
18
Lattice="3.089 -9.725 0.000 3.089 9.725 0.000 0.000 0.000 7.597" Properties=species:S:1:pos:R:3 pbc="T T T"
Tb 3.089 7.985 6.811
Tb 3.089 1.739 3.013
Tb 3.089 -1.739 4.584
Tb 3.089 -7.985 0.785
Er 0.000 0.000 3.798
Er 1.544 4.833 5.697
Er 1.544 -4.833 1.899
Er 3.089 0.000 0.000
Er 4.633 4.833 5.697
Er 4.633 -4.833 1.899
Al 3.089 6.782 3.875
Al 1.544 1.689 5.697
Al 1.544 -1.689 1.899
Al 3.089 2.943 0.077
Al 3.089 -2.943 7.520
Al 4.633 1.689 5.697
Al 4.633 -1.689 1.899
Al 3.089 -6.782 3.721
```

Computed properties:
energy of formation	-1.89	eV/f.u.
crystal system	orthorhombic

***

# 10
Density functional theory data (PBE) for crystalline La6AgAu at its relaxed geometry.

The structure in extended XYZ format:
```
8
Lattice="0.000 3.802 8.801 3.797 0.000 8.801 3.797 3.802 0.000" Properties=species:S:1:pos:R:3 pbc="T T T"
La 1.899 1.901 1.878
La 3.797 3.802 4.391
La 1.899 1.901 6.923
La 5.696 5.703 10.679
La 3.797 3.802 13.211
La 5.696 5.703 15.724
Ag 0.000 0.000 0.000
Au 3.797 3.802 8.801
```

Computed properties:
energy of formation	-1.98	eV/f.u.
crystal system	orthorhombic

***

# 11
Density functional theory data (PBE) for crystalline PmNd2DyHo2 at its relaxed geometry.

The structure in extended XYZ format:
```
12
Lattice="7.010 0.000 0.000 0.000 5.698 0.000 0.000 0.000 9.883" Properties=species:S:1:pos:R:3 pbc="T T T"
Pm 0.000 0.000 0.000
Pm 3.505 0.000 0.000
Nd 0.000 2.849 4.941
Nd 1.753 0.000 3.264
Nd 3.505 2.849 4.941
Nd 5.258 0.000 6.619
Dy 1.753 2.849 8.261
Dy 5.258 2.849 1.622
Ho 1.753 0.000 6.577
Ho 1.753 2.849 1.656
Ho 5.258 0.000 3.306
Ho 5.258 2.849 8.227
```

Computed properties:
energy of formation	0.40	eV/f.u.
crystal system	orthorhombic

***

# 12
Density functional theory data (PBE) for crystalline Cs2Cd5Sn4 at its relaxed geometry.

The structure in extended XYZ format:
```
11
Lattice="0.000 7.469 7.595 3.479 0.000 7.595 3.479 7.469 0.000" Properties=species:S:1:pos:R:3 pbc="T T T"
Cs 3.479 2.272 7.595
Cs 3.479 12.665 7.595
Cd 1.740 0.000 3.798
Cd 1.740 3.734 3.798
Cd 1.740 7.469 3.798
Cd 3.479 7.469 7.595
Cd 5.219 11.203 11.393
Sn 3.479 5.626 5.332
Sn 3.479 9.312 5.332
Sn 3.479 5.626 9.858
Sn 3.479 9.312 9.858
```

Computed properties:
energy of formation	-0.46	eV/f.u.
crystal system	orthorhombic

***

# 13
Density functional theory data (PBE) for crystalline TaAgOs4 at its relaxed geometry.

The structure in extended XYZ format:
```
6
Lattice="0.000 3.653 3.653 3.653 0.000 3.653 3.653 3.653 0.000" Properties=species:S:1:pos:R:3 pbc="T T T"
Ta 0.000 0.000 0.000
Ag 1.826 1.826 1.826
Os 4.565 2.741 2.741
Os 2.741 4.565 2.741
Os 2.741 2.741 4.565
Os 4.565 4.565 4.565
```

Computed properties:
energy of formation	2.36	eV/f.u.
crystal system	cubic

***

# 14
Density functional theory data (PBE) for crystalline Tc2Hg2Pt at its relaxed geometry.

The structure in extended XYZ format:
```
10
Lattice="6.593 0.000 0.000 0.000 6.593 0.000 0.000 0.000 4.386" Properties=species:S:1:pos:R:3 pbc="T T T"
Tc 0.786 2.510 0.000
Tc 2.510 5.806 0.000
Tc 4.082 0.786 0.000
Tc 5.806 4.082 0.000
Hg 1.216 4.512 2.193
Hg 2.080 1.216 2.193
Hg 4.512 5.377 2.193
Hg 5.377 2.080 2.193
Pt 0.000 0.000 0.000
Pt 3.296 3.296 0.000
```

Computed properties:
energy of formation	2.70	eV/f.u.
crystal system	tetragonal

***

Number 1: magnetization 0.4 μB/f.u.. Number 2: magnetization 0.0 μB/f.u.. Number 3: magnetization 0.0 μB/f.u.. Number 4: magnetization 0.0 μB/f.u.. Number 5: magnetization 2.5 μB/f.u.. Number 6: magnetization 0.7 μB/f.u.. Number 7: magnetization 0.4 μB/f.u.. Number 8: magnetization 0.0 μB/f.u.. Number 9: magnetization 0.0 μB/f.u.. Number 10: magnetization 0.0 μB/f.u.. Number 11: magnetization 0.0 μB/f.u.. Number 12: magnetization 0.0 μB/f.u.. Number 13: magnetization 0.0 μB/f.u.. Number 14: magnetization 0.0 μB/f.u..